Entry from Alexandria: crystalline Tb12Pa3Tl5 at its relaxed geometry (PBE).

abc: 15.665 15.665 15.665
angles: 109.47 109.47 109.47
Positions (direct):
Tb (0.061, 0.631, 0.728)
Tb (0.834, 0.930, 0.061)
Tl (0.875, 0.250, 0.625)
Pa (0.250, 0.625, 0.875)
Tb (0.096, 0.930, 0.369)
Pa (0.750, 0.875, 0.625)
Tb (0.561, 0.228, 0.131)
Pa (0.625, 0.250, 0.375)
Tl (0.000, 0.000, 0.000)
Tl (0.125, 0.375, 0.250)
Tb (0.096, 0.166, 0.228)
Tb (0.404, 0.272, 0.334)
Tb (0.930, 0.096, 0.869)
Tb (0.596, 0.728, 0.666)
Tl (0.375, 0.250, 0.125)
Tl (0.000, 0.000, 0.500)
Tl (0.875, 0.625, 0.750)
Tb (0.439, 0.772, 0.869)
Tb (0.070, 0.166, 0.439)
Pa (0.750, 0.375, 0.125)
Tl (0.375, 0.125, 0.750)
Tb (0.930, 0.834, 0.561)
Pa (0.875, 0.750, 0.125)
Tb (0.772, 0.439, 0.369)
Pa (0.125, 0.875, 0.750)
Tl (0.125, 0.750, 0.375)
Tb (0.369, 0.939, 0.772)
Tl (0.750, 0.625, 0.375)
Tb (0.404, 0.131, 0.570)
Tb (0.728, 0.596, 0.166)
Tb (0.596, 0.869, 0.430)
Tl (0.500, 0.500, 0.000)
Tb (0.166, 0.070, 0.939)
Tb (0.561, 0.334, 0.930)
Tl (0.500, 0.000, 0.500)
Tb (0.666, 0.439, 0.570)
Tb (0.131, 0.404, 0.070)
Tl (0.625, 0.875, 0.250)
Tb (0.728, 0.131, 0.061)
Pa (0.625, 0.375, 0.750)
Pa (0.375, 0.625, 0.250)
Pa (0.250, 0.125, 0.375)
Tl (0.000, 0.500, 0.000)
Tb (0.834, 0.904, 0.272)
Pa (0.125, 0.250, 0.875)
Tl (0.750, 0.125, 0.875)
Tb (0.070, 0.904, 0.131)
Tb (0.369, 0.430, 0.096)
Tb (0.166, 0.096, 0.728)
Tb (0.939, 0.369, 0.272)
Tl (0.625, 0.750, 0.875)
Tb (0.666, 0.228, 0.596)
Tb (0.272, 0.869, 0.939)
Tb (0.228, 0.561, 0.631)
Tl (0.250, 0.875, 0.125)
Tb (0.228, 0.666, 0.096)
Tb (0.439, 0.666, 0.070)
Tb (0.131, 0.728, 0.561)
Tb (0.430, 0.061, 0.334)
Tb (0.869, 0.272, 0.439)
Tb (0.869, 0.596, 0.930)
Tl (0.500, 0.000, 0.000)
Tb (0.334, 0.561, 0.430)
Tb (0.334, 0.772, 0.404)
Tl (0.000, 0.500, 0.500)
Tb (0.631, 0.570, 0.904)
Tb (0.904, 0.070, 0.631)
Tb (0.570, 0.939, 0.666)
Pa (0.375, 0.750, 0.625)
Tb (0.904, 0.834, 0.772)
Tb (0.631, 0.061, 0.228)
Tb (0.272, 0.404, 0.834)
Tb (0.772, 0.334, 0.904)
Tb (0.430, 0.369, 0.596)
Tl (0.500, 0.500, 0.500)
Tl (0.250, 0.375, 0.625)
Tb (0.061, 0.430, 0.834)
Tb (0.939, 0.570, 0.166)
Tb (0.570, 0.631, 0.404)
Pa (0.875, 0.125, 0.250)

Values from the calculation:
formation enthalpy at 0 K	0.67	eV per atom
electronic total energy	-330.2	eV/cell

Entry from Alexandria: crystalline Si2NiHg at its relaxed geometry (PBE).

abc: 3.830 3.830 8.116
angles: 49.41 49.41 60.01
Positions (direct):
Si (0.043, 0.043, 0.112)
Hg (0.750, 0.750, 0.750)
Si (0.457, 0.457, 0.388)
Ni (0.250, 0.250, 0.250)

Values from the calculation:
electronic total energy	-17.1	eV/cell
uncorrected formation energy	-0.03	eV per atom